Entry 1:
This record from Alexandria describes Ga2AgSe2 after structural relaxation. The functional is GGA-PBE.

a = 6.6503 Å, b = 6.6503 Å, c = 6.6503 Å
α = 139.36°, β = 139.36°, γ = 58.82°
Last column: nearest neighbours and their distance in Å.
Atoms (fractional coordinates):
Ga 0.2500 0.7500 0.5000  4 Se 2.63
Ga 0.7500 0.2500 0.5000  4 Se 2.63
Ag 0.0000 0.0000 0.0000  8 Se 3.65, 8 Ga 3.70
Se 0.3587 0.3587 0.0000  4 Ga 2.63
Se 0.6413 0.6413 0.0000  4 Ga 2.63

Summary:
Relative energy among the computed polymorphs   189 meV/atom
Magnetic moment   0.00 μB per cell
ΔE_f (raw)   0.082 eV/atom


Entry 2:
This record from Alexandria describes Ga2AgSe2 after structural relaxation. The functional is GGA-PBE.

a = 7.9560 Å, b = 7.9560 Å, c = 3.7578 Å
α = 90.00°, β = 90.00°, γ = 90.00°
Last column: nearest neighbours and their distance in Å.
Atoms (fractional coordinates):
Ga 0.1126 0.3874 0.0000  2 Se 2.49, 1 Ga 2.53
Ga 0.3874 0.8874 0.0000  2 Se 2.49, 1 Ga 2.53
Ga 0.6126 0.1126 0.0000  2 Se 2.49, 1 Ga 2.53
Ga 0.8874 0.6126 0.0000  2 Se 2.49, 1 Ga 2.53
Ag 0.0000 0.0000 0.5000  4 Se 2.81
Ag 0.5000 0.5000 0.5000  4 Se 2.81
Se 0.2418 0.7418 0.5000  2 Ga 2.49
Se 0.2582 0.2418 0.5000  2 Ga 2.49
Se 0.7418 0.7582 0.5000  2 Ga 2.49
Se 0.7582 0.2582 0.5000  2 Ga 2.49

Summary:
Relative energy among the computed polymorphs   0 meV/atom
Magnetic moment   0.00 μB per cell
ΔE_f (raw)   -0.107 eV/atom


Entry 3:
This record from Alexandria describes Ga2Ag2Se5 after structural relaxation. The functional is GGA-PBE.

a = 7.6090 Å, b = 7.6090 Å, c = 7.1099 Å
α = 100.70°, β = 100.70°, γ = 35.25°
Last column: nearest neighbours and their distance in Å.
Atoms (fractional coordinates):
Ga 0.1487 0.1487 0.3602  5 Se 2.40-2.63
Ga 0.8513 0.8513 0.6398  5 Se 2.40-2.63
Ag 0.3126 0.3126 0.0614  4 Se 2.64-2.86, 2 Ag 2.96
Ag 0.6874 0.6874 0.9386  4 Se 2.64-2.86, 2 Ag 2.96
Se 0.0000 0.0000 0.5000  2 Ga 2.55
Se 0.1135 0.1135 0.0155  1 Ga 2.40, 2 Ag 2.64
Se 0.3325 0.3325 0.4697  3 Ga 2.59-2.63, 1 Ag 2.86
Se 0.6675 0.6675 0.5303  3 Ga 2.59-2.63, 1 Ag 2.86
Se 0.8865 0.8865 0.9845  1 Ga 2.40, 2 Ag 2.64

Summary:
Magnetic moment   0.00 μB per cell
ΔE_f (raw)   -0.139 eV/atom


Q: Which formula does entry 1 have?
A: Ga2AgSe2


Q: The lowest ΔE_f (raw) belongs to which entry?
A: Ga2Ag2Se5


Q: magnetic moment of number 1 (Ga2AgSe2)?
A: 0.00 μB per cell